(1)
DFT (GGA-PBE) results for a relaxed structure of TbPmGe.

Calculated values
Its calculated volume is 28.90 Å³/atom. The space group is No. 216.

a b c (Å): 7.026 7.026 7.026
angles (deg): 90.00 90.00 90.00
Atoms (fractional coordinates):
Tb (0.000, 0.000, 0.000)
Tb (0.000, 0.500, 0.500)
Tb (0.500, 0.000, 0.500)
Tb (0.500, 0.500, 0.000)
Pm (0.000, 0.000, 0.500)
Pm (0.000, 0.500, 0.000)
Pm (0.500, 0.000, 0.000)
Pm (0.500, 0.500, 0.500)
Ge (0.250, 0.250, 0.750)
Ge (0.250, 0.750, 0.250)
Ge (0.750, 0.250, 0.250)
Ge (0.750, 0.750, 0.750)

=====

(2)
DFT (GGA-PBE) results for a relaxed structure of TbPmGe.

Calculated values
Its calculated volume is 27.77 Å³/atom. The space group is No. 156.

a b c (Å): 4.754 4.754 4.257
angles (deg): 90.00 90.00 120.00
Atoms (fractional coordinates):
Tb (0.000, 0.000, 0.000)
Pm (0.333, 0.667, 0.530)
Ge (0.667, 0.333, 0.176)

=====

Stability check: which of them is least stable? (2).

=====

(1)
DFT (GGA-PBE) results for a relaxed structure of PmTcGe2.

Calculated values
Its calculated volume is 19.27 Å³/atom. The space group is No. 123.

a b c (Å): 4.240 4.240 4.287
angles (deg): 90.00 90.00 90.00
Atoms (fractional coordinates):
Pm (0.000, 0.000, 0.000)
Tc (0.500, 0.500, 0.000)
Ge (0.000, 0.500, 0.500)
Ge (0.500, 0.000, 0.500)

=====

(2)
DFT (GGA-PBE) results for a relaxed structure of PmTcGe2.

Calculated values
Its calculated volume is 20.07 Å³/atom. The space group is No. 62.

a b c (Å): 7.316 4.236 10.362
angles (deg): 90.00 90.00 90.00
Atoms (fractional coordinates):
Pm (0.158, 0.250, 0.131)
Pm (0.342, 0.750, 0.631)
Pm (0.658, 0.250, 0.369)
Pm (0.842, 0.750, 0.869)
Tc (0.022, 0.750, 0.394)
Tc (0.478, 0.250, 0.894)
Tc (0.522, 0.750, 0.106)
Tc (0.978, 0.250, 0.606)
Ge (0.141, 0.250, 0.812)
Ge (0.204, 0.250, 0.432)
Ge (0.296, 0.750, 0.932)
Ge (0.359, 0.750, 0.312)
Ge (0.641, 0.250, 0.688)
Ge (0.704, 0.250, 0.068)
Ge (0.796, 0.750, 0.568)
Ge (0.859, 0.750, 0.188)

=====

Stability check: which of them is least stable? (1).

=====

(1)
DFT (GGA-PBE) results for a relaxed structure of PmTcGe2.

Calculated values
Its calculated volume is 32.92 Å³/atom. The space group is No. 166.

a b c (Å): 4.853 4.853 19.369
angles (deg): 90.00 90.00 120.00
Atoms (fractional coordinates):
Pm (0.000, 0.000, 0.000)
Pm (0.333, 0.667, 0.667)
Pm (0.667, 0.333, 0.333)
Tc (0.000, 0.000, 0.500)
Tc (0.333, 0.667, 0.167)
Tc (0.667, 0.333, 0.833)
Ge (0.000, 0.000, 0.376)
Ge (0.000, 0.000, 0.624)
Ge (0.333, 0.667, 0.043)
Ge (0.333, 0.667, 0.290)
Ge (0.667, 0.333, 0.710)
Ge (0.667, 0.333, 0.957)

=====

(2)
DFT (GGA-PBE) results for a relaxed structure of PmTcGe2.

Calculated values
Its calculated volume is 20.43 Å³/atom. The space group is No. 15.

a b c (Å): 6.258 10.597 5.828
angles (deg): 90.00 122.25 90.00
Atoms (fractional coordinates):
Pm (0.000, 0.131, 0.250)
Pm (0.000, 0.869, 0.750)
Pm (0.500, 0.369, 0.750)
Pm (0.500, 0.631, 0.250)
Tc (0.000, 0.466, 0.250)
Tc (0.000, 0.534, 0.750)
Tc (0.500, 0.034, 0.750)
Tc (0.500, 0.966, 0.250)
Ge (0.238, 0.361, 0.082)
Ge (0.238, 0.639, 0.582)
Ge (0.262, 0.139, 0.918)
Ge (0.262, 0.861, 0.418)
Ge (0.738, 0.139, 0.582)
Ge (0.738, 0.861, 0.082)
Ge (0.762, 0.361, 0.418)
Ge (0.762, 0.639, 0.918)

=====

(3)
DFT (GGA-PBE) results for a relaxed structure of PmTcGe2.

Calculated values
Its calculated volume is 18.49 Å³/atom. The space group is No. 225.

a b c (Å): 6.663 6.663 6.663
angles (deg): 90.00 90.00 90.00
Atoms (fractional coordinates):
Pm (0.000, 0.000, 0.000)
Pm (0.000, 0.500, 0.500)
Pm (0.500, 0.000, 0.500)
Pm (0.500, 0.500, 0.000)
Tc (0.000, 0.000, 0.500)
Tc (0.000, 0.500, 0.000)
Tc (0.500, 0.000, 0.000)
Tc (0.500, 0.500, 0.500)
Ge (0.250, 0.250, 0.250)
Ge (0.250, 0.250, 0.750)
Ge (0.250, 0.750, 0.250)
Ge (0.250, 0.750, 0.750)
Ge (0.750, 0.250, 0.250)
Ge (0.750, 0.250, 0.750)
Ge (0.750, 0.750, 0.250)
Ge (0.750, 0.750, 0.750)

=====

Stability check: which of them is least stable? (1).

=====

(1)
DFT (GGA-PBE) results for a relaxed structure of PmTc3Ge3.

Calculated values
Its calculated volume is 22.24 Å³/atom. The space group is No. 223.

a b c (Å): 6.777 6.777 6.777
angles (deg): 90.00 90.00 90.00
Atoms (fractional coordinates):
Pm (0.000, 0.000, 0.000)
Pm (0.500, 0.500, 0.500)
Tc (0.000, 0.250, 0.500)
Tc (0.000, 0.750, 0.500)
Tc (0.250, 0.500, 0.000)
Tc (0.500, 0.000, 0.250)
Tc (0.500, 0.000, 0.750)
Tc (0.750, 0.500, 0.000)
Ge (0.000, 0.500, 0.250)
Ge (0.000, 0.500, 0.750)
Ge (0.250, 0.000, 0.500)
Ge (0.500, 0.250, 0.000)
Ge (0.500, 0.750, 0.000)
Ge (0.750, 0.000, 0.500)

=====

(2)
DFT (GGA-PBE) results for a relaxed structure of PmTc3Ge3.

Calculated values
Its calculated volume is 20.11 Å³/atom. The space group is No. 176.

a b c (Å): 8.677 8.677 4.318
angles (deg): 90.00 90.00 120.00
Atoms (fractional coordinates):
Pm (0.333, 0.667, 0.250)
Pm (0.667, 0.333, 0.750)
Tc (0.106, 0.467, 0.750)
Tc (0.361, 0.894, 0.750)
Tc (0.467, 0.361, 0.250)
Tc (0.533, 0.639, 0.750)
Tc (0.639, 0.106, 0.250)
Tc (0.894, 0.533, 0.250)
Ge (0.024, 0.712, 0.750)
Ge (0.288, 0.312, 0.750)
Ge (0.312, 0.024, 0.250)
Ge (0.688, 0.976, 0.750)
Ge (0.712, 0.688, 0.250)
Ge (0.976, 0.288, 0.250)

=====

Stability check: which of them is least stable? (1).

=====

(1)
DFT (GGA-PBE) results for a relaxed structure of PmThTcGe.

Calculated values
Its calculated volume is 24.17 Å³/atom. The space group is No. 38.

a b c (Å): 3.915 4.203 11.752
angles (deg): 90.00 90.00 90.00
Atoms (fractional coordinates):
Pm (0.000, 0.000, 0.000)
Pm (0.000, 0.500, 0.500)
Th (0.500, 0.000, 0.727)
Th (0.500, 0.500, 0.227)
Tc (0.000, 0.000, 0.273)
Tc (0.000, 0.500, 0.773)
Ge (0.500, 0.000, 0.424)
Ge (0.500, 0.500, 0.924)

=====

(2)
DFT (GGA-PBE) results for a relaxed structure of PmThTcGe.

Calculated values
Its calculated volume is 23.64 Å³/atom. The space group is No. 216.

a b c (Å): 7.232 7.232 7.232
angles (deg): 90.00 90.00 90.00
Atoms (fractional coordinates):
Pm (0.000, 0.000, 0.000)
Pm (0.000, 0.500, 0.500)
Pm (0.500, 0.000, 0.500)
Pm (0.500, 0.500, 0.000)
Th (0.000, 0.000, 0.500)
Th (0.000, 0.500, 0.000)
Th (0.500, 0.000, 0.000)
Th (0.500, 0.500, 0.500)
Tc (0.250, 0.250, 0.750)
Tc (0.250, 0.750, 0.250)
Tc (0.750, 0.250, 0.250)
Tc (0.750, 0.750, 0.750)
Ge (0.250, 0.250, 0.250)
Ge (0.250, 0.750, 0.750)
Ge (0.750, 0.250, 0.750)
Ge (0.750, 0.750, 0.250)

=====

Stability check: which of them is least stable? (2).

=====

(1)
DFT (GGA-PBE) results for a relaxed structure of Pm3GeTe2.

Calculated values
Its calculated volume is 30.40 Å³/atom. The space group is No. 15.

a b c (Å): 7.650 7.650 7.594
angles (deg): 99.76 99.76 119.38
Atoms (fractional coordinates):
Pm (0.000, 0.500, 0.000)
Pm (0.147, 0.296, 0.496)
Pm (0.296, 0.147, 0.996)
Pm (0.500, 0.000, 0.500)
Pm (0.704, 0.853, 0.004)
Pm (0.853, 0.704, 0.504)
Ge (0.088, 0.912, 0.250)
Ge (0.912, 0.088, 0.750)
Te (0.258, 0.742, 0.750)
Te (0.418, 0.582, 0.250)
Te (0.582, 0.418, 0.750)
Te (0.742, 0.258, 0.250)

=====

(2)
DFT (GGA-PBE) results for a relaxed structure of Pm3GeTe2.

Calculated values
Its calculated volume is 30.45 Å³/atom. The space group is No. 12.

a b c (Å): 7.620 7.620 7.698
angles (deg): 99.47 99.47 120.01
Atoms (fractional coordinates):
Pm (0.072, 0.423, 0.770)
Pm (0.224, 0.224, 0.226)
Pm (0.423, 0.072, 0.770)
Pm (0.577, 0.928, 0.230)
Pm (0.776, 0.776, 0.774)
Pm (0.928, 0.577, 0.230)
Ge (0.168, 0.832, 0.000)
Ge (0.832, 0.168, 0.000)
Te (0.000, 0.000, 0.500)
Te (0.339, 0.661, 0.500)
Te (0.500, 0.500, 0.000)
Te (0.661, 0.339, 0.500)

=====

Stability check: which of them is least stable? (1).

=====

(1)
DFT (GGA-PBE) results for a relaxed structure of Pm5GeTe4.

Calculated values
Its calculated volume is 30.90 Å³/atom. The space group is No. 139.

a b c (Å): 16.256 16.256 16.256
angles (deg): 164.44 164.44 22.07
Atoms (fractional coordinates):
Pm (0.000, 0.000, 0.000)
Pm (0.207, 0.207, 0.000)
Pm (0.410, 0.410, 0.000)
Pm (0.590, 0.590, 0.000)
Pm (0.793, 0.793, 0.000)
Ge (0.500, 0.500, 0.000)
Te (0.103, 0.103, 0.000)
Te (0.307, 0.307, 0.000)
Te (0.693, 0.693, 0.000)
Te (0.897, 0.897, 0.000)

=====

(2)
DFT (GGA-PBE) results for a relaxed structure of Pm5GeTe4.

Calculated values
Its calculated volume is 30.92 Å³/atom. The space group is No. 87.

a b c (Å): 7.695 7.695 7.695
angles (deg): 99.50 99.50 132.05
Atoms (fractional coordinates):
Pm (0.000, 0.000, 0.000)
Pm (0.222, 0.404, 0.626)
Pm (0.404, 0.778, 0.182)
Pm (0.596, 0.222, 0.818)
Pm (0.778, 0.596, 0.374)
Ge (0.500, 0.500, 0.000)
Te (0.093, 0.696, 0.789)
Te (0.304, 0.093, 0.398)
Te (0.696, 0.907, 0.602)
Te (0.907, 0.304, 0.211)

=====

Stability check: which of them is least stable? (1).

=====

(1)
DFT (GGA-PBE) results for a relaxed structure of Pm2GeTe.

Calculated values
Its calculated volume is 30.26 Å³/atom. The space group is No. 160.

a b c (Å): 4.322 4.322 22.452
angles (deg): 90.00 90.00 120.00
Atoms (fractional coordinates):
Pm (0.000, 0.000, 0.000)
Pm (0.000, 0.000, 0.188)
Pm (0.333, 0.667, 0.667)
Pm (0.333, 0.667, 0.855)
Pm (0.667, 0.333, 0.333)
Pm (0.667, 0.333, 0.521)
Ge (0.000, 0.000, 0.595)
Ge (0.333, 0.667, 0.262)
Ge (0.667, 0.333, 0.928)
Te (0.000, 0.000, 0.426)
Te (0.333, 0.667, 0.093)
Te (0.667, 0.333, 0.759)

=====

(2)
DFT (GGA-PBE) results for a relaxed structure of Pm2GeTe.

Calculated values
Its calculated volume is 29.81 Å³/atom. The space group is No. 166.

a b c (Å): 4.351 4.351 21.817
angles (deg): 90.00 90.00 120.00
Atoms (fractional coordinates):
Pm (0.000, 0.000, 0.241)
Pm (0.000, 0.000, 0.759)
Pm (0.333, 0.667, 0.425)
Pm (0.333, 0.667, 0.908)
Pm (0.667, 0.333, 0.092)
Pm (0.667, 0.333, 0.575)
Ge (0.000, 0.000, 0.500)
Ge (0.333, 0.667, 0.167)
Ge (0.667, 0.333, 0.833)
Te (0.000, 0.000, 0.000)
Te (0.333, 0.667, 0.667)
Te (0.667, 0.333, 0.333)

=====

Stability check: which of them is least stable? (1).

=====

(1)
DFT (GGA-PBE) results for a relaxed structure of PmThGeTe.

Calculated values
Its calculated volume is 29.98 Å³/atom. The space group is No. 160.

a b c (Å): 4.357 4.357 21.884
angles (deg): 90.00 90.00 120.00
Atoms (fractional coordinates):
Pm (0.000, 0.000, 0.000)
Pm (0.333, 0.667, 0.667)
Pm (0.667, 0.333, 0.333)
Th (0.000, 0.000, 0.520)
Th (0.333, 0.667, 0.187)
Th (0.667, 0.333, 0.853)
Ge (0.000, 0.000, 0.259)
Ge (0.333, 0.667, 0.926)
Ge (0.667, 0.333, 0.593)
Te (0.000, 0.000, 0.760)
Te (0.333, 0.667, 0.426)
Te (0.667, 0.333, 0.093)

=====

(2)
DFT (GGA-PBE) results for a relaxed structure of PmThGeTe.

Calculated values
Its calculated volume is 26.86 Å³/atom. The space group is No. 216.

a b c (Å): 7.547 7.547 7.547
angles (deg): 90.00 90.00 90.00
Atoms (fractional coordinates):
Pm (0.000, 0.000, 0.000)
Pm (0.000, 0.500, 0.500)
Pm (0.500, 0.000, 0.500)
Pm (0.500, 0.500, 0.000)
Th (0.000, 0.000, 0.500)
Th (0.000, 0.500, 0.000)
Th (0.500, 0.000, 0.000)
Th (0.500, 0.500, 0.500)
Ge (0.250, 0.250, 0.250)
Ge (0.250, 0.750, 0.750)
Ge (0.750, 0.250, 0.750)
Ge (0.750, 0.750, 0.250)
Te (0.250, 0.250, 0.750)
Te (0.250, 0.750, 0.250)
Te (0.750, 0.250, 0.250)
Te (0.750, 0.750, 0.750)

=====

Stability check: which of them is least stable? (2).

=====

(1)
DFT (GGA-PBE) results for a relaxed structure of Pm2ThGe2.

Calculated values
Its calculated volume is 29.11 Å³/atom. The space group is No. 15.

a b c (Å): 7.782 7.782 5.830
angles (deg): 111.99 111.99 95.94
Atoms (fractional coordinates):
Pm (0.057, 0.282, 0.424)
Pm (0.282, 0.057, 0.924)
Pm (0.718, 0.943, 0.076)
Pm (0.943, 0.718, 0.576)
Th (0.375, 0.625, 0.250)
Th (0.625, 0.375, 0.750)
Ge (0.117, 0.883, 0.250)
Ge (0.352, 0.648, 0.750)
Ge (0.648, 0.352, 0.250)
Ge (0.883, 0.117, 0.750)

=====

(2)
DFT (GGA-PBE) results for a relaxed structure of Pm2ThGe2.

Calculated values
Its calculated volume is 26.56 Å³/atom. The space group is No. 127.

a b c (Å): 7.994 7.994 4.155
angles (deg): 90.00 90.00 90.00
Atoms (fractional coordinates):
Pm (0.165, 0.335, 0.000)
Pm (0.335, 0.835, 0.000)
Pm (0.665, 0.165, 0.000)
Pm (0.835, 0.665, 0.000)
Th (0.000, 0.000, 0.500)
Th (0.500, 0.500, 0.500)
Ge (0.134, 0.634, 0.500)
Ge (0.366, 0.134, 0.500)
Ge (0.634, 0.866, 0.500)
Ge (0.866, 0.366, 0.500)

=====

Stability check: which of them is least stable? (1).

=====

(1)
DFT (GGA-PBE) results for a relaxed structure of PmTiGe.

Calculated values
Its calculated volume is 22.40 Å³/atom. The space group is No. 139.

a b c (Å): 4.114 4.114 15.883
angles (deg): 90.00 90.00 90.00
Atoms (fractional coordinates):
Pm (0.000, 0.000, 0.174)
Pm (0.000, 0.000, 0.826)
Pm (0.500, 0.500, 0.326)
Pm (0.500, 0.500, 0.674)
Ti (0.000, 0.500, 0.000)
Ti (0.000, 0.500, 0.500)
Ti (0.500, 0.000, 0.000)
Ti (0.500, 0.000, 0.500)
Ge (0.000, 0.000, 0.382)
Ge (0.000, 0.000, 0.618)
Ge (0.500, 0.500, 0.118)
Ge (0.500, 0.500, 0.882)

=====

(2)
DFT (GGA-PBE) results for a relaxed structure of PmTiGe.

Calculated values
Its calculated volume is 24.58 Å³/atom. The space group is No. 164.

a b c (Å): 4.377 4.377 8.888
angles (deg): 90.00 90.00 120.00
Atoms (fractional coordinates):
Pm (0.333, 0.667, 0.331)
Pm (0.667, 0.333, 0.669)
Ti (0.333, 0.667, 0.949)
Ti (0.667, 0.333, 0.051)
Ge (0.000, 0.000, 0.152)
Ge (0.000, 0.000, 0.848)

=====

Stability check: which of them is least stable? (2).

=====

(1)
DFT (GGA-PBE) results for a relaxed structure of Pm6TlGe2.

Calculated values
Its calculated volume is 29.36 Å³/atom. The space group is No. 71.

a b c (Å): 8.829 8.829 8.829
angles (deg): 111.93 110.03 106.50
Atoms (fractional coordinates):
Pm (0.044, 0.247, 0.797)
Pm (0.182, 0.275, 0.457)
Pm (0.182, 0.725, 0.907)
Pm (0.325, 0.029, 0.705)
Pm (0.325, 0.620, 0.295)
Pm (0.450, 0.247, 0.203)
Pm (0.550, 0.753, 0.797)
Pm (0.675, 0.380, 0.705)
Pm (0.675, 0.971, 0.295)
Pm (0.818, 0.275, 0.093)
Pm (0.818, 0.725, 0.543)
Pm (0.956, 0.753, 0.203)
Tl (0.000, 0.000, 0.000)
Tl (0.500, 0.500, 0.000)
Ge (0.120, 0.620, 0.500)
Ge (0.360, 0.000, 0.360)
Ge (0.640, 0.000, 0.640)
Ge (0.880, 0.380, 0.500)

=====

(2)
DFT (GGA-PBE) results for a relaxed structure of Pm6TlGe2.

Calculated values
Its calculated volume is 28.82 Å³/atom. The space group is No. 189.

a b c (Å): 8.285 8.285 4.363
angles (deg): 90.00 90.00 120.00
Atoms (fractional coordinates):
Pm (0.000, 0.283, 0.000)
Pm (0.000, 0.591, 0.500)
Pm (0.283, 0.000, 0.000)
Pm (0.409, 0.409, 0.500)
Pm (0.591, 0.000, 0.500)
Pm (0.717, 0.717, 0.000)
Tl (0.000, 0.000, 0.500)
Ge (0.333, 0.667, 0.000)
Ge (0.667, 0.333, 0.000)

=====

Stability check: which of them is least stable? (2).